Entry 1:
This record from Alexandria describes an optimized crystal structure of ZrMnCu2S4. The functional is PBE-GGA.

The energy relative to the elements, uncorrected is -5.16 eV per formula unit. For the energy above the lowest structure with this stoichiometry, the calculation gives 0.101 eV per atom. The calculation puts the density of states at the Fermi level at 0.595 states/eV/f.u.

The structure belongs to space group Cm (No. 8); the cell edges are 11.9701, 4.7967 and 6.2660 Å and the angles 90.00°, 118.40° and 90.00°. The asymmetric unit holds Zr at (0.0000, 0.0000, 0.0000), Mn at (0.2375, 0.0000, 0.5862), Cu at (0.3055, 0.5000, 0.3986), Cu at (0.4340, 0.0000, 0.1981), S at (0.2392, 0.0000, 0.1977), S at (0.2541, 0.5000, 0.6992), S at (0.4792, 0.0000, 0.8801) and S at (0.4925, 0.5000, 0.3812).

***

Entry 2:
This record from Alexandria describes an optimized crystal structure of ZrMnCu2S4. The functional is PBE-GGA.

The energy relative to the elements, uncorrected is -5.96 eV per formula unit. For the energy above the lowest structure with this stoichiometry, the calculation gives 0.000 eV per atom.

The structure belongs to space group I-42m (No. 121); the cell edges are 5.5125, 5.5125 and 10.7916 Å and the angles 90.00°, 90.00° and 90.00°. The asymmetric unit holds Zr at (0.0000, 0.0000, 0.0000), Mn at (0.0000, 0.0000, 0.5000), Cu at (0.0000, 0.5000, 0.2500) and S at (0.2450, 0.2450, 0.3672).

***

- energy relative to the elements, uncorrected of number 2 (ZrMnCu2S4)?
  -5.96 eV per formula unit